Record 1
The following is a PBE calculation of a geometry-optimized Ac8Ge3Te4Pb structure, from the Alexandria database.

a = 9.514 Å, b = 9.514 Å, c = 9.514 Å
α = 59.38°, β = 59.38°, γ = 59.38°
Element x y z (fractional)
Ac (0.234, 0.747, 0.747)
Ac (0.241, 0.241, 0.241)
Ac (0.253, 0.253, 0.766)
Ac (0.253, 0.766, 0.253)
Ac (0.747, 0.234, 0.747)
Ac (0.747, 0.747, 0.234)
Ac (0.759, 0.759, 0.759)
Ac (0.766, 0.253, 0.253)
Ge (0.000, 0.000, 0.500)
Ge (0.000, 0.500, 0.000)
Ge (0.500, 0.000, 0.000)
Te (0.000, 0.000, 0.000)
Te (0.000, 0.500, 0.500)
Te (0.500, 0.000, 0.500)
Te (0.500, 0.500, 0.000)
Pb (0.500, 0.500, 0.500)

Calculated values
* electronic total energy: -5.097 eV per atom
* calculated volume: 37.5 A^3/atom
* crystal system: trigonal
* total moment: 0.0 μB per formula unit
* space-group type: R-3m (166)
* DOS at the Fermi energy: 5.4 states/eV per cell


Record 2
The following is a PBE calculation of a geometry-optimized Ac6Ge2Te3Pb structure, from the Alexandria database.

a = 10.628 Å, b = 10.628 Å, c = 9.567 Å
α = 103.32°, β = 103.32°, γ = 25.59°
Element x y z (fractional)
Ac (0.008, 0.008, 0.251)
Ac (0.327, 0.327, 0.431)
Ac (0.333, 0.333, 0.895)
Ac (0.667, 0.667, 0.105)
Ac (0.673, 0.673, 0.569)
Ac (0.992, 0.992, 0.749)
Ge (0.168, 0.168, 0.336)
Ge (0.832, 0.832, 0.664)
Te (0.165, 0.165, 0.833)
Te (0.500, 0.500, 0.500)
Te (0.835, 0.835, 0.167)
Pb (0.500, 0.500, 0.000)

Calculated values
* electronic total energy: -5.068 eV per atom
* calculated volume: 37.8 A^3/atom
* crystal system: monoclinic
* total moment: 0.0 μB per formula unit
* space-group type: C2/m (12)
* DOS at the Fermi energy: 2.8 states/eV per cell


Record 3
The following is a PBE calculation of a geometry-optimized Ac6Ge2TePb3 structure, from the Alexandria database.

a = 10.926 Å, b = 10.926 Å, c = 9.892 Å
α = 109.03°, β = 109.03°, γ = 24.30°
Element x y z (fractional)
Ac (0.011, 0.011, 0.252)
Ac (0.326, 0.326, 0.438)
Ac (0.334, 0.334, 0.898)
Ac (0.666, 0.666, 0.102)
Ac (0.674, 0.674, 0.562)
Ac (0.989, 0.989, 0.748)
Ge (0.166, 0.166, 0.327)
Ge (0.834, 0.834, 0.673)
Te (0.500, 0.500, 0.000)
Pb (0.161, 0.161, 0.826)
Pb (0.500, 0.500, 0.500)
Pb (0.839, 0.839, 0.174)

Calculated values
* electronic total energy: -4.711 eV per atom
* calculated volume: 38.2 A^3/atom
* crystal system: monoclinic
* total moment: 0.0 μB per formula unit
* space-group type: C2/m (12)
* DOS at the Fermi energy: 8.0 states/eV per cell


Record 4
The following is a PBE calculation of a geometry-optimized AcTmGePb structure, from the Alexandria database.

a = 7.759 Å, b = 7.759 Å, c = 7.759 Å
α = 90.00°, β = 90.00°, γ = 90.00°
Element x y z (fractional)
Ac (0.000, 0.000, 0.000)
Ac (0.000, 0.500, 0.500)
Ac (0.500, 0.000, 0.500)
Ac (0.500, 0.500, 0.000)
Tm (0.000, 0.000, 0.500)
Tm (0.000, 0.500, 0.000)
Tm (0.500, 0.000, 0.000)
Tm (0.500, 0.500, 0.500)
Ge (0.250, 0.250, 0.750)
Ge (0.250, 0.750, 0.250)
Ge (0.750, 0.250, 0.250)
Ge (0.750, 0.750, 0.750)
Pb (0.250, 0.250, 0.250)
Pb (0.250, 0.750, 0.750)
Pb (0.750, 0.250, 0.750)
Pb (0.750, 0.750, 0.250)

Calculated values
* electronic total energy: -4.605 eV per atom
* calculated volume: 29.2 A^3/atom
* energy of formation: -378.5 meV per atom
* crystal system: cubic
* total moment: 0.0 μB per formula unit
* space-group type: F-43m (216)
* DOS at the Fermi energy: 18.3 states/eV per cell


Record 5
The following is a PBE calculation of a geometry-optimized AcZnGePb structure, from the Alexandria database.

a = 7.573 Å, b = 7.573 Å, c = 7.573 Å
α = 90.00°, β = 90.00°, γ = 90.00°
Element x y z (fractional)
Ac (0.000, 0.000, 0.000)
Ac (0.000, 0.500, 0.500)
Ac (0.500, 0.000, 0.500)
Ac (0.500, 0.500, 0.000)
Zn (0.250, 0.250, 0.750)
Zn (0.250, 0.750, 0.250)
Zn (0.750, 0.250, 0.250)
Zn (0.750, 0.750, 0.750)
Ge (0.250, 0.250, 0.250)
Ge (0.250, 0.750, 0.750)
Ge (0.750, 0.250, 0.750)
Ge (0.750, 0.750, 0.250)
Pb (0.000, 0.000, 0.500)
Pb (0.000, 0.500, 0.000)
Pb (0.500, 0.000, 0.000)
Pb (0.500, 0.500, 0.500)

Calculated values
* electronic total energy: -3.647 eV per atom
* calculated volume: 27.1 A^3/atom
* energy of formation: -220.4 meV per atom
* crystal system: cubic
* total moment: 0.0 μB per formula unit
* space-group type: F-43m (216)
* DOS at the Fermi energy: 11.1 states/eV per cell


Record 6
The following is a PBE calculation of a geometry-optimized Ac2Zn4Ge3Pb structure, from the Alexandria database.

a = 4.725 Å, b = 4.725 Å, c = 10.179 Å
α = 90.00°, β = 90.00°, γ = 90.00°
Element x y z (fractional)
Ac (0.000, 0.500, 0.239)
Ac (0.500, 0.000, 0.761)
Zn (0.000, 0.000, 0.000)
Zn (0.000, 0.500, 0.637)
Zn (0.500, 0.000, 0.363)
Zn (0.500, 0.500, 0.000)
Ge (0.000, 0.500, 0.879)
Ge (0.500, 0.000, 0.121)
Ge (0.500, 0.500, 0.500)
Pb (0.000, 0.000, 0.500)

Calculated values
* electronic total energy: -3.445 eV per atom
* calculated volume: 22.7 A^3/atom
* energy of formation: -358.0 meV per atom
* crystal system: tetragonal
* total moment: 0.0 μB per formula unit
* space-group type: P-4m2 (115)
* DOS at the Fermi energy: 3.5 states/eV per cell


Record 7
The following is a PBE calculation of a geometry-optimized Ac2ZnGePb structure, from the Alexandria database.

a = 7.650 Å, b = 4.644 Å, c = 9.563 Å
α = 90.00°, β = 105.31°, γ = 90.00°
Element x y z (fractional)
Ac (0.202, 0.250, 0.403)
Ac (0.247, 0.250, 0.966)
Ac (0.753, 0.750, 0.034)
Ac (0.798, 0.750, 0.597)
Zn (0.480, 0.750, 0.272)
Zn (0.520, 0.250, 0.728)
Ge (0.158, 0.750, 0.168)
Ge (0.842, 0.250, 0.832)
Pb (0.306, 0.750, 0.692)
Pb (0.694, 0.250, 0.308)

Calculated values
* electronic total energy: -4.053 eV per atom
* calculated volume: 32.8 A^3/atom
* energy of formation: -489.9 meV per atom
* crystal system: monoclinic
* total moment: 0.0 μB per formula unit
* space-group type: P2_1/m (11)
* DOS at the Fermi energy: 2.1 states/eV per cell


Record 8
The following is a PBE calculation of a geometry-optimized Ac4Ge2Pd structure, from the Alexandria database.

a = 8.399 Å, b = 8.399 Å, c = 8.399 Å
α = 110.66°, β = 110.63°, γ = 107.15°
Element x y z (fractional)
Ac (0.005, 0.880, 0.507)
Ac (0.120, 0.128, 0.125)
Ac (0.380, 0.504, 0.007)
Ac (0.495, 0.003, 0.875)
Ac (0.503, 0.996, 0.375)
Ac (0.628, 0.620, 0.625)
Ac (0.872, 0.497, 0.993)
Ac (0.997, 0.372, 0.493)
Ge (0.136, 0.750, 0.886)
Ge (0.250, 0.636, 0.386)
Ge (0.364, 0.250, 0.614)
Ge (0.750, 0.864, 0.114)
Pd (0.624, 0.374, 0.250)
Pd (0.876, 0.126, 0.750)

Calculated values
* electronic total energy: -5.062 eV per atom
* calculated volume: 32.5 A^3/atom
* distance to the lowest polymorph of the same formula: 0.00 eV/f.u.
* energy of formation: -653.4 meV per atom
* crystal system: orthorhombic
* total moment: 0.0 μB per formula unit
* space-group type: I2_12_12_1 (24)
* DOS at the Fermi energy: 10.9 states/eV per cell


Record 9
The following is a PBE calculation of a geometry-optimized Ac2Ge2Pd structure, from the Alexandria database.

a = 6.193 Å, b = 6.193 Å, c = 11.664 Å
α = 115.16°, β = 115.16°, γ = 43.06°
Element x y z (fractional)
Ac (0.094, 0.094, 0.394)
Ac (0.293, 0.293, 0.858)
Ac (0.707, 0.707, 0.142)
Ac (0.906, 0.906, 0.606)
Ge (0.032, 0.032, 0.909)
Ge (0.382, 0.382, 0.389)
Ge (0.618, 0.618, 0.611)
Ge (0.968, 0.968, 0.091)
Pd (0.436, 0.436, 0.186)
Pd (0.564, 0.564, 0.814)

Calculated values
* electronic total energy: -5.360 eV per atom
* calculated volume: 27.2 A^3/atom
* energy of formation: -831.3 meV per atom
* crystal system: monoclinic
* total moment: 0.0 μB per formula unit
* space-group type: C2/m (12)
* DOS at the Fermi energy: 4.8 states/eV per cell


Record 10
The following is a PBE calculation of a geometry-optimized Ac2Ge2Pd3 structure, from the Alexandria database.

a = 11.282 Å, b = 4.175 Å, c = 7.321 Å
α = 90.00°, β = 114.46°, γ = 90.00°
Element x y z (fractional)
Ac (0.129, 0.000, 0.265)
Ac (0.371, 0.500, 0.735)
Ac (0.629, 0.500, 0.265)
Ac (0.871, 0.000, 0.735)
Ge (0.153, 0.000, 0.728)
Ge (0.347, 0.500, 0.272)
Ge (0.653, 0.500, 0.728)
Ge (0.847, 0.000, 0.272)
Pd (0.000, 0.500, 0.500)
Pd (0.137, 0.500, 0.927)
Pd (0.363, 0.000, 0.073)
Pd (0.500, 0.000, 0.500)
Pd (0.637, 0.000, 0.927)
Pd (0.863, 0.500, 0.073)

Calculated values
* electronic total energy: -5.497 eV per atom
* calculated volume: 22.4 A^3/atom
* distance to the lowest polymorph of the same formula: 0.03 eV/f.u.
* energy of formation: -778.8 meV per atom
* crystal system: monoclinic
* total moment: 0.0 μB per formula unit
* space-group type: C2/m (12)
* DOS at the Fermi energy: 6.2 states/eV per cell


Record 11
The following is a PBE calculation of a geometry-optimized Ac2GePd structure, from the Alexandria database.

a = 3.828 Å, b = 3.828 Å, c = 7.810 Å
α = 90.00°, β = 90.00°, γ = 90.00°
Element x y z (fractional)
Ac (0.000, 0.000, 0.246)
Ac (0.000, 0.000, 0.754)
Ge (0.500, 0.500, 0.500)
Pd (0.500, 0.500, 0.000)

Calculated values
* electronic total energy: -5.155 eV per atom
* calculated volume: 28.6 A^3/atom
* distance to the lowest polymorph of the same formula: 0.37 eV/f.u.
* energy of formation: -647.9 meV per atom
* crystal system: tetragonal
* total moment: 0.0 μB per formula unit
* space-group type: P4/mmm (123)
* DOS at the Fermi energy: 1.2 states/eV per cell


Record 12
The following is a PBE calculation of a geometry-optimized AcGePd2 structure, from the Alexandria database.

a = 7.897 Å, b = 7.067 Å, c = 6.110 Å
α = 90.00°, β = 90.00°, γ = 90.00°
Element x y z (fractional)
Ac (0.029, 0.250, 0.155)
Ac (0.471, 0.750, 0.655)
Ac (0.529, 0.250, 0.345)
Ac (0.971, 0.750, 0.845)
Ge (0.127, 0.750, 0.344)
Ge (0.373, 0.250, 0.844)
Ge (0.627, 0.750, 0.156)
Ge (0.873, 0.250, 0.656)
Pd (0.175, 0.052, 0.585)
Pd (0.175, 0.448, 0.585)
Pd (0.325, 0.552, 0.085)
Pd (0.325, 0.948, 0.085)
Pd (0.675, 0.052, 0.915)
Pd (0.675, 0.448, 0.915)
Pd (0.825, 0.552, 0.415)
Pd (0.825, 0.948, 0.415)

Calculated values
* electronic total energy: -5.614 eV per atom
* calculated volume: 21.3 A^3/atom
* energy of formation: -836.3 meV per atom
* crystal system: orthorhombic
* total moment: 0.0 μB per formula unit
* space-group type: Pnma (62)
* DOS at the Fermi energy: 6.4 states/eV per cell